1.
AlZn2Te PBE optimized geometry; size of the total moment = 0.000 μB per atom; DFT total energy = -2.1175 eV per atom; polymorph energy (0 for the lowest one) = 23.3 kJ/mol of atoms
1.0
-2.162 2.162 4.401
2.162 -2.162 4.401
2.162 2.162 -4.401
Al Zn Te
1 2 1
Cartesian
0.000 0.000 0.000
2.162 0.000 2.201
0.000 2.162 2.201
0.000 0.000 4.401



2.
Al3ZnTe PBE optimized geometry; size of the total moment = 0.000 μB per atom; DFT total energy = -2.1460 eV per atom; polymorph energy (0 for the lowest one) = 69.3 kJ/mol of atoms
1.0
5.407 0.000 0.000
0.000 5.407 0.000
0.000 0.000 5.407
Al Zn Te
3 1 1
Cartesian
0.000 0.000 2.704
0.000 2.704 0.000
2.704 0.000 0.000
2.704 2.704 2.704
0.000 0.000 0.000



3.
AlZn2Te PBE optimized geometry; size of the total moment = 0.000 μB per atom; DFT total energy = -2.1863 eV per atom; polymorph energy (0 for the lowest one) = 16.7 kJ/mol of atoms
1.0
2.955 -3.856 0.000
2.955 3.856 0.000
-1.062 0.000 3.687
Al Zn Te
1 2 1
Cartesian
0.000 0.000 0.000
0.946 1.928 1.844
0.946 -1.928 1.844
2.955 0.000 0.000